No. 1
A relaxed structure of As2PdO, computed with PBE.

a b c (Å): 3.5082 5.6101 6.8604
angles (deg): 90.00 90.00 90.00
Space group Pmc2_1 (No. 26)
Unique sites:
As  0.0000  0.0921  0.0000 (multiplicity 2)
As  0.5000  0.3467  0.8177 (multiplicity 2)
Pd  0.5000  0.2543  0.4786 (multiplicity 2)
O  0.0000  0.2398  0.2263 (multiplicity 2)

Calculated values
The energy above the lowest structure with this stoichiometry comes out at 0 meV per atom.


No. 2
A relaxed structure of AsPd2O4, computed with PBE.

a b c (Å): 6.2396 6.2396 8.8057
angles (deg): 90.00 90.00 90.00
Space group I4_1/amd (No. 141, origin choice 2)
Unique sites:
As  0.0000  0.2500  0.3750 (multiplicity 4)
Pd  0.0000  0.0000  0.0000 (multiplicity 8)
O  0.0000  0.0178  0.2588 (multiplicity 16)

Calculated values
The value obtained for the total energy is -37.55 eV per formula unit.


No. 3
A relaxed structure of AsPdO4, computed with PBE.

a b c (Å): 4.6081 4.6081 12.6234
angles (deg): 90.00 90.00 120.00
Space group P3_121 (No. 152)
Unique sites:
As  0.0000  0.5079  0.1667 (multiplicity 3)
Pd  0.0000  0.5535  0.6667 (multiplicity 3)
O  0.0451  0.7069  0.2864 (multiplicity 6)
O  0.1114  0.6527  0.8179 (multiplicity 6)

Calculated values
The value obtained for the total energy is -32.65 eV per formula unit.


No. 4
A relaxed structure of As2PdO, computed with PBE.

a b c (Å): 4.3372 4.3372 7.4124
angles (deg): 90.00 90.00 90.00
Space group P4/nmm (No. 129, origin choice 2)
Unique sites:
As  0.2500  0.2500  0.1953 (multiplicity 2)
As  0.2500  0.7500  0.0000 (multiplicity 2)
Pd  0.2500  0.2500  0.5472 (multiplicity 2)
O  0.2500  0.7500  0.5000 (multiplicity 2)

Calculated values
The energy above the lowest structure with this stoichiometry comes out at 423 meV per atom.